The following is a DFT calculation (PBE) of crystalline LiHfTe3 at its relaxed geometry.

The electronic total energy is -3.9585 eV/atom. As for the space-group type: Pm-3m (221). For the formation energy from raw total energies, the calculation gives 0.300 eV/atom. For the distance to the lowest polymorph of the same formula, the calculation gives 0.934 eV per atom.

Cell lengths 5.009, 5.009, 5.009 Å; angles 90.00, 90.00, 90.00 degrees
Atoms (fractional coordinates):
Te  0.000  0.500  0.000
Te  0.000  0.000  0.500
Te  0.500  0.000  0.000
Hf  0.500  0.500  0.500
Li  0.000  0.000  0.000



The following is a DFT calculation (PBE) of crystalline SrIr2W at its relaxed geometry.

The electronic total energy is -7.4915 eV/atom. As for the formation enthalpy at 0 K: 0.60 eV/atom. As for the space-group type: Fm-3m (225). For the distance to the lowest polymorph of the same formula, the calculation gives 0.569 eV per atom.

Cell lengths 4.691, 4.691, 4.691 Å; angles 60.00, 60.00, 60.00 degrees
Atoms (fractional coordinates):
Sr  0.000  0.000  0.000
Ir  0.250  0.250  0.250
Ir  0.750  0.750  0.750
W  0.500  0.500  0.500



The following is a DFT calculation (PBE) of crystalline Y4PuAs5 at its relaxed geometry.

The electronic total energy is -7.7842 eV/atom. As for the formation enthalpy at 0 K: -1.44 eV/atom. As for the space-group type: I4/m (87).

Cell lengths 5.834, 7.149, 7.149 Å; angles 80.42, 65.92, 65.92 degrees
Site moments in Bohr magnetons follow the coordinates.
Atoms (fractional coordinates):
Y  0.401  0.401  0.799  -0.01
Y  0.802  0.799  0.599  -0.01
Y  0.200  0.201  0.401  -0.01
Y  0.601  0.599  0.201  -0.01
Pu  0.001  0.000  0.000  -5.00
As  0.902  0.397  0.800  0.04
As  0.300  0.800  0.603  0.04
As  0.702  0.200  0.397  0.04
As  0.100  0.603  0.200  0.04
As  0.501  0.000  0.000  0.07



The following is a DFT calculation (PBE) of crystalline Y3Cl at its relaxed geometry.

The electronic total energy is -5.8449 eV/atom. As for the space-group type: Cmmm (65). For the formation energy from raw total energies, the calculation gives -0.535 eV/atom. For the distance to the lowest polymorph of the same formula, the calculation gives 0.124 eV per atom.

Cell lengths 3.544, 3.544, 10.215 Å; angles 90.00, 90.00, 115.84 degrees
Atoms (fractional coordinates):
Cl  0.000  0.000  0.000
Y  0.500  0.500  0.776
Y  0.000  0.000  0.500
Y  0.500  0.500  0.224



The following is a DFT calculation (PBE) of crystalline CeSI3 at its relaxed geometry.

The electronic total energy is -4.0321 eV/atom. As for the space-group type: C2/c (15). For the formation energy from raw total energies, the calculation gives -1.090 eV/atom. For the distance to the lowest polymorph of the same formula, the calculation gives 0.000 eV per atom.

Cell lengths 8.118, 8.568, 15.340 Å; angles 85.65, 80.78, 61.72 degrees
Atoms (fractional coordinates):
Ce  0.971  0.887  0.142
Ce  0.142  0.887  0.358
Ce  0.029  0.113  0.858
Ce  0.858  0.113  0.642
S  0.292  0.651  0.214
S  0.057  0.651  0.286
S  0.708  0.349  0.786
S  0.943  0.349  0.714
I  0.741  0.225  0.032
I  0.035  0.225  0.468
I  0.259  0.775  0.968
I  0.965  0.775  0.532
I  0.770  0.710  0.090
I  0.520  0.710  0.410
I  0.230  0.290  0.910
I  0.480  0.290  0.590
I  0.713  0.106  0.307
I  0.181  0.106  0.193
I  0.287  0.894  0.693
I  0.819  0.894  0.807



The following is a DFT calculation (PBE) of crystalline PmErTl at its relaxed geometry.

The electronic total energy is -4.0533 eV/atom. As for the formation enthalpy at 0 K: -0.16 eV/atom. As for the space-group type: P3m1 (156). For the distance to the lowest polymorph of the same formula, the calculation gives 0.098 eV per atom.

Cell lengths 3.758, 5.286, 5.286 Å; angles 120.00, 90.00, 90.00 degrees
Atoms (fractional coordinates):
Tl  0.452  0.333  0.667
Pm  0.014  0.000  0.000
Er  0.534  0.667  0.333



The following is a DFT calculation (PBE) of crystalline MgCdFe at its relaxed geometry.

The electronic total energy is -3.4583 eV/atom. As for the formation enthalpy at 0 K: 0.20 eV/atom. As for the space-group type: I4mm (107). For the distance to the lowest polymorph of the same formula, the calculation gives 0.000 eV per atom.

Cell lengths 6.427, 6.425, 6.425 Å; angles 153.55, 153.54, 37.76 degrees
Site moments in Bohr magnetons follow the coordinates.
Atoms (fractional coordinates):
Cd  0.988  0.988  0.000  -0.01
Fe  0.331  0.331  0.000  2.62
Mg  0.681  0.681  0.000  -0.02



The following is a DFT calculation (PBE) of crystalline Be3Pd2Ru at its relaxed geometry.

The electronic total energy is -5.6137 eV/atom. As for the formation enthalpy at 0 K: -0.47 eV/atom. As for the space-group type: P4/mmm (123).

Cell lengths 2.813, 2.813, 8.484 Å; angles 90.00, 90.00, 90.00 degrees
Atoms (fractional coordinates):
Be  0.000  0.000  0.000
Be  0.000  0.000  0.656
Be  0.000  0.000  0.344
Pd  0.500  0.500  0.834
Pd  0.500  0.500  0.166
Ru  0.500  0.500  0.500



Q: What is the electronic total energy in the fifth record?
A: -4.0321 eV/atom



Copy entry 4 word for word.
The following is a DFT calculation (PBE) of crystalline Y3Cl at its relaxed geometry.

The electronic total energy is -5.8449 eV/atom. As for the space-group type: Cmmm (65). For the formation energy from raw total energies, the calculation gives -0.535 eV/atom. For the distance to the lowest polymorph of the same formula, the calculation gives 0.124 eV per atom.

Cell lengths 3.544, 3.544, 10.215 Å; angles 90.00, 90.00, 115.84 degrees
Atoms (fractional coordinates):
Cl  0.000  0.000  0.000
Y  0.500  0.500  0.776
Y  0.000  0.000  0.500
Y  0.500  0.500  0.224



Q: electronic total energy of number 2 (SrIr2W)?
A: -7.4915 eV/atom